# 1
Computed, not measured: CdIn2Hg3 after structural relaxation at the GGA-PBE level of DFT.

Calculated values
As for the total energy: -0.044 hartree per atom. The calculation puts the formation energy at 0.008 eV/atom. The total moment is 0.00 μB per formula unit. The symmetry is Cmmm (65). For the volume, the calculation gives 155 Å³ per cell.

```
CdIn2Hg3
1.0
-2.5023 2.7212 1.9820
-3.4063 -0.4138 -3.7325
-1.4952 -5.3051 5.3962
In Cd Hg
2 1 3
Cartesian
-2.1439 -3.6949 2.3662
-2.7576 -2.0241 -0.7025
0.0000 0.0000 0.0000
-2.9543 1.1537 -0.8752
-5.1125 -2.5657 1.5067
-2.2914 -0.4321 2.1390
```

=====

# 2
Computed, not measured: Cd2In2Hg after structural relaxation at the GGA-PBE level of DFT.

Calculated values
As for the total energy: -0.052 hartree per atom. The calculation puts the formation energy at 0.096 eV/atom. The total moment is 0.00 μB per formula unit. The symmetry is I4/mmm (139). For the volume, the calculation gives 137 Å³ per cell.

```
Cd2In2Hg
1.0
-4.2267 -0.9663 -0.8341
0.1369 -3.2116 3.0267
-4.0659 2.4841 6.0402
In Cd Hg
2 2 1
Cartesian
-2.9870 -1.4082 5.0816
-5.1688 -0.2855 3.1512
-5.7157 -0.4990 6.1699
-2.4401 -1.1948 2.0630
0.0000 0.0000 0.0000
```

=====

# 3
Computed, not measured: CdIn5Hg8 after structural relaxation at the GGA-PBE level of DFT.

Calculated values
As for the total energy: -0.044 hartree per atom. The calculation puts the formation energy at 0.013 eV/atom. The total moment is 0.00 μB per formula unit. The symmetry is I-4 (82). For the volume, the calculation gives 374 Å³ per cell.

```
CdIn5Hg8
1.0
7.8625 0.0227 -0.0391
-2.6390 7.4064 0.0391
-2.5846 -3.7337 6.4188
Hg In Cd
8 5 1
Cartesian
1.4148 3.6593 1.3157
0.4455 0.4570 2.3129
4.6053 0.3550 2.4913
5.5573 -1.9842 4.7374
-1.1086 5.5601 0.1146
0.3837 3.3580 5.6726
1.5167 -0.1695 5.4567
-2.2588 3.5461 3.5738
6.3623 2.4199 0.7594
2.7634 0.9910 0.1273
3.9628 5.3816 1.6890
2.6390 -1.8555 3.1898
2.6365 2.3548 3.8039
-1.2923 0.9086 4.8238
```

=====

# 4
Computed, not measured: Cd2In5Hg after structural relaxation at the GGA-PBE level of DFT.

Calculated values
As for the total energy: -0.072 hartree per atom. The calculation puts the formation energy at 0.018 eV/atom. The total moment is 0.00 μB per formula unit. The symmetry is I4/mmm (139). For the volume, the calculation gives 207 Å³ per cell.

```
Cd2In5Hg
1.0
-4.4926 1.4048 0.1052
-1.1351 -3.8180 2.5104
4.4651 5.8973 6.5726
In Hg Cd
5 1 2
Cartesian
0.6580 1.5724 7.1042
-2.8139 -1.2066 1.3078
-1.0207 4.1839 5.9015
-1.8206 1.9116 2.0841
-0.1419 -0.6998 3.2867
0.0000 0.0000 0.0000
0.8245 2.3423 3.9351
-1.9871 1.1418 5.2532
```

=====

# 5
Computed, not measured: Cd12In5Hg3 after structural relaxation at the GGA-PBE level of DFT.

Calculated values
As for the total energy: -0.040 hartree per atom. The calculation puts the formation energy at 0.179 eV/atom. The total moment is 0.00 μB per formula unit. The symmetry is Ia-3d (230). For the volume, the calculation gives 2464 Å³ per cell.

```
Cd12In5Hg3
1.0
14.7367 0.0000 0.0000
-4.9122 13.8939 0.0000
-4.9122 -6.9470 12.0325
Cd Hg In
48 12 20
Cartesian
10.1083 6.8071 1.9782
-1.6309 -3.8099 8.8193
-2.5071 -5.4684 11.2076
3.2813 6.0693 4.9061
3.0484 1.3789 4.0380
9.2322 0.7130 5.1913
-3.0484 7.6128 9.2294
-0.2838 5.1639 0.8680
4.3200 -1.3789 4.0380
5.7374 -0.8777 7.1264
2.5070 -2.0198 6.8843
2.4052 8.9667 5.1482
2.1723 -1.7831 11.1644
-4.9632 10.3955 4.3233
1.6309 0.8777 7.1264
5.1961 1.7831 11.1644
-0.2839 8.5902 1.1102
0.5923 8.3258 7.9944
7.0845 7.0868 1.9782
-0.5923 0.6659 2.8031
5.1961 -1.6433 10.9223
7.4193 3.4984 4.3233
-4.8613 5.4684 11.2076
-4.0870 11.6346 1.6929
5.5045 6.2811 9.2294
-5.1961 0.1398 10.0543
2.7400 5.3037 1.1102
1.8638 5.5681 7.9944
10.6497 3.1370 3.2131
6.5431 2.2593 1.6929
8.9993 -4.6876 10.3395
2.7400 8.7300 0.8680
-5.7374 3.8099 8.8193
-4.3199 6.2340 6.8411
-0.8252 7.8246 4.9061
-1.8638 -0.7130 5.1913
9.8754 -3.4486 7.7092
7.9606 -0.6659 2.8031
0.0509 4.9271 5.1482
-1.6309 4.6876 10.3395
-2.5071 3.4486 7.7092
6.7761 7.6599 6.8411
6.5432 10.7569 3.2131
7.4193 12.4153 0.8249
-2.1723 -0.1398 10.0543
4.8613 2.0198 6.8843
2.1723 1.6433 10.9223
9.7735 1.4786 0.8249
-3.6842 2.6051 10.5284
1.2281 6.9470 3.0081
8.5964 9.5521 1.5041
6.1403 0.8684 4.5122
-3.6842 -2.6051 10.5284
3.6842 7.8153 7.5203
-1.2281 6.0786 7.5203
1.2281 -0.8684 4.5122
-6.1403 6.9470 9.0244
11.0525 0.0000 3.0081
8.5964 4.3418 1.5041
3.6842 0.0000 9.0244
7.3684 0.0000 0.0000
6.1403 6.0786 4.5122
-1.2281 0.8684 7.5203
4.9122 -3.4735 6.0162
-3.6842 7.8153 4.5122
0.0000 0.0000 0.0000
2.4561 3.4735 6.0162
-2.4561 6.9470 0.0000
-1.2281 11.2888 1.5041
-4.9122 3.4735 6.0162
-1.2281 3.4735 3.0081
4.9122 6.9470 0.0000
6.1403 3.4735 9.0244
6.1403 -4.3418 10.5284
1.2281 4.3418 10.5284
-2.4561 -3.4735 6.0162
1.2281 -3.4735 9.0244
8.5964 -0.8684 7.5203
3.6842 2.6051 1.5041
3.6842 10.4204 3.0081
```

=====

# 6
Computed, not measured: Cd3In2Hg7 after structural relaxation at the GGA-PBE level of DFT.

Calculated values
As for the total energy: -0.031 hartree per atom. The calculation puts the formation energy at 0.024 eV/atom. The total moment is 0.00 μB per formula unit. The symmetry is P2/m (10). For the volume, the calculation gives 311 Å³ per cell.

```
Cd3In2Hg7
1.0
-1.7776 -1.0612 -2.4401
-5.4032 -0.6848 4.2340
-8.5383 12.6134 0.7346
Hg In Cd
7 2 3
Cartesian
-2.7893 1.5664 -0.7475
0.0000 0.0000 0.0000
-12.9299 9.3010 3.2761
-9.2505 5.1881 2.3844
-9.5597 10.2745 2.4959
-4.3818 1.6541 2.4728
-6.4687 5.6794 0.1442
-8.6286 7.7381 0.8224
-7.0905 3.1293 1.7062
-10.2542 7.7295 4.1086
-3.6874 4.1991 0.8601
-3.5904 -0.8730 0.8970
```

=====

# 7
Computed, not measured: Cd3In4Hg12 after structural relaxation at the GGA-PBE level of DFT.

Calculated values
As for the total energy: -0.029 hartree per atom. The calculation puts the formation energy at 0.127 eV/atom. The total moment is 0.00 μB per formula unit. The symmetry is Im-3 (204). For the volume, the calculation gives 665 Å³ per cell.

```
Cd3In4Hg12
1.0
-0.6519 -6.5045 -6.9237
8.1732 -1.2110 4.7333
-7.3233 -1.0082 6.0020
Hg In Cd
12 4 3
Cartesian
4.1161 -2.0375 4.8837
-5.1046 -3.0115 3.1333
-1.0342 -3.0342 7.1366
2.5626 -2.9015 1.4764
-1.0128 -3.9494 -0.7362
-3.9182 -6.6862 -1.0720
1.5418 -6.4980 0.5859
1.2322 -5.6895 -3.3249
5.3026 -5.7122 0.6784
-1.3438 -2.2258 3.2257
-2.3647 -5.8222 2.3353
1.2108 -4.7744 4.5479
-3.6616 -0.5041 3.0010
4.0866 -0.6055 2.3667
-0.3260 -3.2523 -3.4619
0.0990 -4.3619 1.9058
3.7606 -3.8577 -1.0952
-3.9876 -3.7564 -0.4608
0.4249 -1.1096 5.3677
```

=====

# 8
Computed, not measured: Cd5InHg2 after structural relaxation at the GGA-PBE level of DFT.

Calculated values
As for the total energy: -0.036 hartree per atom. The calculation puts the formation energy at 0.023 eV/atom. The total moment is 0.00 μB per formula unit. The symmetry is Pbam (55). For the volume, the calculation gives 385 Å³ per cell.

```
Cd5InHg2
1.0
4.0983 0.0000 0.0000
0.0000 5.9658 0.0000
0.0000 0.0000 15.7303
In Cd Hg
2 10 4
Cartesian
0.0000 2.9829 0.0000
0.0000 0.0000 7.8652
0.0000 2.9913 11.7984
2.0491 1.4916 13.7055
2.0491 4.4745 9.8900
0.0000 2.9829 7.8652
2.0491 4.4742 2.0248
0.0000 2.9745 3.9319
0.0000 0.0000 0.0000
2.0491 1.4913 5.8403
0.0000 0.0084 11.7971
0.0000 5.9575 3.9332
2.0491 1.4731 1.9880
2.0491 1.5098 9.8532
2.0491 4.4928 13.7423
2.0491 4.4560 5.8771
```